The following is a PBE-GGA calculation of an optimized crystal structure of PrNdF, from Alexandria.

a = 3.906 Å, b = 3.906 Å, c = 5.807 Å
α = 90.00°, β = 90.00°, γ = 120.00°
Atoms (fractional coordinates):
Pr  0.000  0.000  0.913
Nd  0.667  0.333  0.424
F  0.333  0.667  0.663

Summary:
Size of the total moment   0.00 Bohr magnetons per cell
Total energy   -5.35 eV/atom
E_form (uncorrected)   -1548.7 meV/atom

---

The following is a PBE-GGA calculation of an optimized crystal structure of PrNd2F11, from Alexandria.

a = 8.757 Å, b = 9.061 Å, c = 9.061 Å
α = 71.48°, β = 61.10°, γ = 61.10°
Atoms (fractional coordinates):
Pr  0.750  0.750  0.750
Pr  0.250  0.250  0.250
Nd  0.661  0.690  0.310
Nd  0.339  0.310  0.690
Nd  0.839  0.190  0.810
Nd  0.161  0.810  0.190
F  0.666  0.708  0.555
F  0.334  0.292  0.445
F  0.071  0.555  0.708
F  0.834  0.945  0.792
F  0.929  0.445  0.292
F  0.166  0.055  0.208
F  0.429  0.792  0.945
F  0.571  0.208  0.055
F  0.500  0.500  0.500
F  0.000  0.000  0.000
F  0.892  0.811  0.189
F  0.108  0.189  0.811
F  0.608  0.311  0.689
F  0.392  0.689  0.311
F  0.461  0.972  0.315
F  0.539  0.028  0.685
F  0.253  0.315  0.972
F  0.039  0.185  0.528
F  0.747  0.685  0.028
F  0.961  0.815  0.472
F  0.247  0.528  0.185
F  0.753  0.472  0.815

Summary:
Size of the total moment   4.25 Bohr magnetons per cell
Total energy   -5.88 eV/atom
E_form (uncorrected)   -3388.6 meV/atom

---

The following is a PBE-GGA calculation of an optimized crystal structure of NdPu2F8, from Alexandria.

a = 3.915 Å, b = 6.556 Å, c = 6.935 Å
α = 118.21°, β = 106.39°, γ = 90.00°
Atoms (fractional coordinates):
F  0.657  0.888  0.315
F  0.343  0.574  0.685
F  0.136  0.136  0.271
F  0.000  0.304  0.000
F  0.864  0.864  0.729
F  0.657  0.426  0.315
F  0.343  0.112  0.685
F  0.000  0.696  0.000
Nd  0.500  0.000  0.000
Pu  0.177  0.677  0.355
Pu  0.823  0.323  0.645

Summary:
Size of the total moment   11.00 Bohr magnetons per cell
Total energy   -8.01 eV/atom
E_form (uncorrected)   -3605.3 meV/atom

---

The following is a PBE-GGA calculation of an optimized crystal structure of Nd2PuF8, from Alexandria.

a = 3.874 Å, b = 6.618 Å, c = 6.897 Å
α = 118.67°, β = 106.31°, γ = 90.00°
Atoms (fractional coordinates):
F  0.662  0.881  0.324
F  0.338  0.556  0.676
F  0.155  0.155  0.310
F  0.000  0.311  0.000
F  0.845  0.845  0.690
F  0.662  0.444  0.324
F  0.338  0.119  0.676
F  0.000  0.689  0.000
Nd  0.183  0.683  0.365
Nd  0.817  0.317  0.635
Pu  0.500  0.000  0.000

Summary:
Size of the total moment   6.00 Bohr magnetons per cell
Total energy   -7.25 eV/atom
E_form (uncorrected)   -3718.3 meV/atom

---

The following is a PBE-GGA calculation of an optimized crystal structure of NdPuF2, from Alexandria.

a = 4.093 Å, b = 4.093 Å, c = 6.705 Å
α = 72.23°, β = 72.23°, γ = 60.00°
Atoms (fractional coordinates):
F  0.130  0.130  0.610
F  0.870  0.870  0.390
Nd  0.000  0.000  0.000
Pu  0.500  0.500  0.500

Summary:
Size of the total moment   6.26 Bohr magnetons per cell
Total energy   -8.03 eV/atom
E_form (uncorrected)   -2316.4 meV/atom

---

The following is a PBE-GGA calculation of an optimized crystal structure of NdPu2F11, from Alexandria.

a = 8.468 Å, b = 8.752 Å, c = 8.752 Å
α = 72.57°, β = 61.07°, γ = 61.07°
Atoms (fractional coordinates):
Nd  0.750  0.750  0.750
Nd  0.250  0.250  0.250
Pu  0.652  0.680  0.320
Pu  0.348  0.320  0.680
Pu  0.848  0.180  0.820
Pu  0.152  0.820  0.180
F  0.643  0.702  0.566
F  0.357  0.298  0.434
F  0.088  0.566  0.702
F  0.857  0.934  0.798
F  0.912  0.434  0.298
F  0.143  0.066  0.202
F  0.412  0.798  0.934
F  0.588  0.202  0.066
F  0.500  0.500  0.500
F  0.000  0.000  0.000
F  0.867  0.786  0.214
F  0.133  0.214  0.786
F  0.633  0.286  0.714
F  0.367  0.714  0.286
F  0.448  0.957  0.322
F  0.552  0.043  0.678
F  0.273  0.322  0.957
F  0.052  0.178  0.543
F  0.727  0.678  0.043
F  0.948  0.822  0.457
F  0.227  0.543  0.178
F  0.773  0.457  0.822

Summary:
Size of the total moment   16.00 Bohr magnetons per cell
Total energy   -7.48 eV/atom
E_form (uncorrected)   -3625.2 meV/atom

---

The following is a PBE-GGA calculation of an optimized crystal structure of RbNdF4, from Alexandria.

a = 3.801 Å, b = 6.416 Å, c = 16.332 Å
α = 90.00°, β = 90.00°, γ = 90.00°
Atoms (fractional coordinates):
Rb  0.250  0.723  0.701
Rb  0.750  0.277  0.299
Rb  0.750  0.777  0.201
Rb  0.250  0.223  0.799
Nd  0.250  0.252  0.057
Nd  0.750  0.748  0.943
Nd  0.750  0.248  0.557
Nd  0.250  0.752  0.443
F  0.250  0.610  0.872
F  0.750  0.390  0.128
F  0.750  0.890  0.372
F  0.250  0.110  0.628
F  0.250  0.632  0.036
F  0.750  0.368  0.964
F  0.750  0.868  0.536
F  0.250  0.132  0.464
F  0.250  0.501  0.555
F  0.750  0.499  0.445
F  0.750  0.999  0.055
F  0.250  0.001  0.945
F  0.250  0.599  0.315
F  0.750  0.401  0.685
F  0.750  0.901  0.815
F  0.250  0.099  0.185

Summary:
Size of the total moment   0.28 Bohr magnetons per cell
Total energy   -5.88 eV/atom
E_form (uncorrected)   -3676.7 meV/atom

---

The following is a PBE-GGA calculation of an optimized crystal structure of Rb2NdF6, from Alexandria.

a = 4.160 Å, b = 6.625 Å, c = 7.720 Å
α = 115.41°, β = 105.68°, γ = 90.00°
Atoms (fractional coordinates):
Rb  0.331  0.331  0.662
Rb  0.669  0.669  0.338
Nd  0.000  0.000  0.000
F  0.861  0.075  0.720
F  0.139  0.355  0.280
F  0.139  0.925  0.280
F  0.500  0.197  0.000
F  0.861  0.645  0.720
F  0.500  0.803  0.000

Summary:
Size of the total moment   1.08 Bohr magnetons per cell
Total energy   -5.03 eV/atom
E_form (uncorrected)   -3036.2 meV/atom

---

The following is a PBE-GGA calculation of an optimized crystal structure of RbNdF4, from Alexandria.

a = 4.046 Å, b = 4.046 Å, c = 6.622 Å
α = 90.00°, β = 90.00°, γ = 90.00°
Atoms (fractional coordinates):
Rb  0.000  0.000  0.000
Nd  0.500  0.500  0.500
F  0.500  0.000  0.699
F  0.000  0.500  0.699
F  0.500  0.000  0.301
F  0.000  0.500  0.301

Summary:
Size of the total moment   0.00 Bohr magnetons per cell
Total energy   -5.87 eV/atom
E_form (uncorrected)   -3665.4 meV/atom

---

The following is a PBE-GGA calculation of an optimized crystal structure of Rb3NdF6, from Alexandria.

a = 7.145 Å, b = 7.145 Å, c = 7.145 Å
α = 117.71°, β = 117.71°, γ = 94.02°
Atoms (fractional coordinates):
Rb  0.750  0.250  0.500
Rb  0.250  0.750  0.500
Rb  0.500  0.500  0.000
Nd  0.000  0.000  0.000
F  0.000  0.308  0.308
F  0.000  0.692  0.692
F  0.308  0.000  0.308
F  0.692  0.000  0.692
F  0.237  0.237  0.000
F  0.763  0.763  0.000

Summary:
Size of the total moment   0.00 Bohr magnetons per cell
Total energy   -5.07 eV/atom
E_form (uncorrected)   -3184.6 meV/atom

---

The following is a PBE-GGA calculation of an optimized crystal structure of Rb3NdF7, from Alexandria.

a = 6.654 Å, b = 6.654 Å, c = 7.126 Å
α = 63.63°, β = 63.63°, γ = 89.43°
Atoms (fractional coordinates):
Rb  0.773  0.226  0.490
Rb  0.501  0.501  0.931
Rb  0.226  0.773  0.490
Nd  0.950  0.950  0.043
F  0.126  0.126  0.160
F  0.649  0.128  0.184
F  0.967  0.315  0.748
F  0.128  0.649  0.184
F  0.666  0.666  0.422
F  0.315  0.967  0.748
F  0.826  0.826  0.852

Summary:
Size of the total moment   1.18 Bohr magnetons per cell
Total energy   -4.87 eV/atom
E_form (uncorrected)   -2979.6 meV/atom

---

The following is a PBE-GGA calculation of an optimized crystal structure of Rb3NdF6, from Alexandria.

a = 6.989 Å, b = 6.989 Å, c = 6.989 Å
α = 60.00°, β = 60.00°, γ = 60.00°
Atoms (fractional coordinates):
Nd  0.000  0.000  0.000
Rb  0.750  0.750  0.750
Rb  0.250  0.250  0.250
Rb  0.500  0.500  0.500
F  0.230  0.770  0.770
F  0.770  0.230  0.770
F  0.230  0.770  0.230
F  0.770  0.770  0.230
F  0.770  0.230  0.230
F  0.230  0.230  0.770

Summary:
Size of the total moment   0.00 Bohr magnetons per cell
Total energy   -5.10 eV/atom
E_form (uncorrected)   -3213.2 meV/atom